BaLi3Hg: optimized geometry, GGA-PBE.

Lattice parameters (Å, degrees): 7.058 7.058 7.058 90.00 90.00 90.00
Fractional positions:
Ba  0.000  0.000  0.000
Li  0.000  0.000  0.500
Li  0.000  0.500  0.000
Li  0.500  0.000  0.000
Hg  0.500  0.500  0.500

Properties
The calculation puts the relative energy among the computed polymorphs at 492 kJ/mol of formula units. The calculation puts the total magnetic moment at 1.07 μB per cell. The formation energy comes out at 0.84 eV/atom. The electronic total energy comes out at -0.755 eV per atom.